# YNiN2F, optimized geometry, DFT PBE with a Hubbard U
data_YNiN2F
_symmetry_space_group_name_H-M 'P 4/m m m'
_symmetry_Int_Tables_number 123
_symmetry_space_group_name_Hall '-P 4 2'
_cell_length_a 4.468
_cell_length_b 4.468
_cell_length_c 4.247
_cell_angle_alpha 90.00
_cell_angle_beta 90.00
_cell_angle_gamma 90.00
loop_
_atom_site_label
_atom_site_type_symbol
_atom_site_fract_x
_atom_site_fract_y
_atom_site_fract_z
Y1 Y 0.000 0.000 0.000
Ni1 Ni 0.500 0.500 0.500
N1 N 0.000 0.500 0.000
F1 F 0.000 0.000 0.500
# Distance to the lowest polymorph of the same formula: 865.9 meV per atom
# Magnetization: 3.81 μB/cell